The following is a PBE-GGA calculation of Hf2SiGe after structural relaxation, from the Alexandria database.

Cell lengths 7.244, 7.244, 5.920 Å; angles 90.00, 90.00, 90.00 degrees
Space group I-42d (No. 122)
Symmetry-distinct sites (fractional):
1 Hf 0.246 0.250 0.125
2 Si 0.000 0.000 0.000
3 Ge 0.000 0.000 0.500

Computed properties:
- E above lowest polymorph (meV per atom) = 398
- E_form (uncorrected) (kJ per mole of atoms) = -30.32

The following is a PBE-GGA calculation of Dy2CI after structural relaxation, from the Alexandria database.

Cell lengths 3.7599, 3.7599, 22.2883 Å; angles 90.00, 90.00, 120.00 degrees
Space group R3m (No. 160, hexagonal axes)
Symmetry-distinct sites (fractional):
1 Dy 0.0000 0.0000 0.0000
2 Dy 0.0000 0.0000 0.2198
3 C 0.0000 0.0000 0.6079
4 I 0.0000 0.0000 0.7768

Computed properties:
- E_form (uncorrected) (kJ per mole of atoms) = -71.64

The following is a PBE-GGA calculation of Ti2FeTcHg after structural relaxation, from the Alexandria database.

Cell lengths 4.687, 4.687, 4.598 Å; angles 90.00, 90.00, 90.00 degrees
Space group P4/mmm (No. 123)
Symmetry-distinct sites (fractional):
1 Ti 0.000 0.500 0.000
2 Fe 0.000 0.000 0.500
3 Tc 0.000 0.000 0.000
4 Hg 0.500 0.500 0.500

Computed properties:
- energy of formation from the pure elements (eV per atom) = 0.681

The following is a PBE-GGA calculation of Th3In2Hg4 after structural relaxation, from the Alexandria database.

Cell lengths 11.398, 5.005, 9.440 Å; angles 90.00, 118.27, 90.00 degrees
Space group C2/m (No. 12)
Symmetry-distinct sites (fractional):
1 Th 0.000 0.000 0.000
2 Th 0.166 0.500 0.671
3 In 0.110 0.500 0.277
4 Hg 0.085 0.000 0.420
5 Hg 0.196 0.500 0.028

Computed properties:
- energy of formation from the pure elements (eV per atom) = -0.273

The following is a PBE-GGA calculation of NiSnBPd2 after structural relaxation, from the Alexandria database.

Cell lengths 4.267, 4.267, 3.949 Å; angles 90.00, 90.00, 90.00 degrees
Space group P4/mmm (No. 123)
Symmetry-distinct sites (fractional):
1 Ni 0.000 0.000 0.000
2 Sn 0.500 0.500 0.000
3 B 0.000 0.000 0.500
4 Pd 0.000 0.500 0.500

Computed properties:
- energy of formation from the pure elements (eV per atom) = -0.184

The following is a PBE-GGA calculation of Ti6MnFe5 after structural relaxation, from the Alexandria database.

Cell lengths 4.177, 12.540, 5.910 Å; angles 90.00, 90.00, 90.00 degrees
Space group Cmmm (No. 65)
Symmetry-distinct sites (fractional):
1 Ti 0.000 0.000 0.249
2 Ti 0.000 0.334 0.249
3 Mn 0.000 0.500 0.000
4 Fe 0.000 0.167 0.000
5 Fe 0.000 0.167 0.500
6 Fe 0.000 0.500 0.500

Computed properties:
- energy of formation from the pure elements (eV per atom) = -0.398

The following is a PBE-GGA calculation of Mn2CuRe after structural relaxation, from the Alexandria database.

Cell lengths 2.6301, 2.6301, 25.4378 Å; angles 90.00, 90.00, 120.00 degrees
Space group R3m (No. 160, hexagonal axes)
Symmetry-distinct sites (fractional):
1 Mn 0.0000 0.0000 0.0000
2 Mn 0.0000 0.0000 0.2583
3 Cu 0.0000 0.0000 0.5080
4 Re 0.0000 0.0000 0.7521

Computed properties:
- E above lowest polymorph (meV per atom) = 114
- energy of formation from the pure elements (eV per atom) = 0.246

The following is a PBE-GGA calculation of OsBrOF2 after structural relaxation, from the Alexandria database.

Cell lengths 4.306, 4.306, 3.740 Å; angles 90.00, 90.00, 90.00 degrees
Space group P4/mmm (No. 123)
Symmetry-distinct sites (fractional):
1 Os 0.000 0.000 0.000
2 Br 0.500 0.500 0.500
3 O 0.000 0.000 0.500
4 F 0.000 0.500 0.000

Computed properties:
- E above lowest polymorph (meV per atom) = 0
- E_form (uncorrected) (kJ per mole of atoms) = -46.79

Repeat the second record exactly.
The following is a PBE-GGA calculation of Dy2CI after structural relaxation, from the Alexandria database.

Cell lengths 3.7599, 3.7599, 22.2883 Å; angles 90.00, 90.00, 120.00 degrees
Space group R3m (No. 160, hexagonal axes)
Symmetry-distinct sites (fractional):
1 Dy 0.0000 0.0000 0.0000
2 Dy 0.0000 0.0000 0.2198
3 C 0.0000 0.0000 0.6079
4 I 0.0000 0.0000 0.7768

Computed properties:
- E_form (uncorrected) (kJ per mole of atoms) = -71.64